Arrangement A

# PBE-GGA Er4Mg2Cd, relaxed
# **Theoretical density**: 6.91 g/cm3
# **Total magnetic moment**: 0.00 Bohr magnetons per cell
data_Er4Mg2Cd
_chemical_formula_sum 'Er12 Mg6 Cd3'
_cell_length_a 5.2399
_cell_length_b 5.2399
_cell_length_c 25.1661
_cell_angle_alpha 90.00
_cell_angle_beta 90.00
_cell_angle_gamma 120.00
_space_group_name_H-M_alt 'R -3 m'
_space_group_IT_number 166
_space_group_name_Hall '-R 3 2"'
loop_
_atom_site_label
_atom_site_type_symbol
_atom_site_fract_x
_atom_site_fract_y
_atom_site_fract_z
_atom_site_occupancy
Er1 Er 0.0000 0.0000 0.1176 1
Er2 Er 0.0000 0.0000 0.3713 1
Mg1 Mg 0.0000 0.0000 0.2452 1
Cd1 Cd 0.0000 0.0000 0.5000 1

---

Arrangement B

# PBE-GGA Er4Mg2Cd, relaxed
# **Theoretical density**: 6.99 g/cm3
# **Total magnetic moment**: 0.00 Bohr magnetons per cell
data_Er4Mg2Cd
_chemical_formula_sum 'Er8 Mg4 Cd2'
_cell_length_a 7.9619
_cell_length_b 6.2911
_cell_length_c 8.6902
_cell_angle_alpha 90.00
_cell_angle_beta 115.07
_cell_angle_gamma 90.00
_space_group_name_H-M_alt 'P 1 21/m 1'
_space_group_IT_number 11
loop_
_space_group_symop_operation_xyz
'x,y,z'
'-x,-y,-z'
'-x,y+1/2,-z'
'x,-y+1/2,z'
loop_
_atom_site_label
_atom_site_type_symbol
_atom_site_fract_x
_atom_site_fract_y
_atom_site_fract_z
_atom_site_occupancy
Er1 Er 0.1232 0.2500 0.0686 1
Er2 Er 0.1235 0.5045 0.7205 1
Er3 Er 0.2690 0.7500 0.3063 1
Mg1 Mg 0.2853 0.2500 0.4843 1
Mg2 Mg 0.4730 0.7500 0.0528 1
Cd1 Cd 0.4574 0.7500 0.6953 1

---

Relative energies in kJ/mol of atoms: arrangement A 4.2; arrangement B 0.0

---

Arrangement A

# PBE-GGA Er4MgCd2, relaxed
# **Theoretical density**: 7.90 g/cm3
# **Total magnetic moment**: 0.00 Bohr magnetons per cell
data_Er4MgCd2
_chemical_formula_sum 'Er12 Mg3 Cd6'
_cell_length_a 5.2103
_cell_length_b 5.2103
_cell_length_c 24.6288
_cell_angle_alpha 90.00
_cell_angle_beta 90.00
_cell_angle_gamma 120.00
_space_group_name_H-M_alt 'R -3 m'
_space_group_IT_number 166
_space_group_name_Hall '-R 3 2"'
loop_
_atom_site_label
_atom_site_type_symbol
_atom_site_fract_x
_atom_site_fract_y
_atom_site_fract_z
_atom_site_occupancy
Er1 Er 0.0000 0.0000 0.1115 1
Er2 Er 0.0000 0.0000 0.3678 1
Mg1 Mg 0.0000 0.0000 0.5000 1
Cd1 Cd 0.0000 0.0000 0.2408 1

---

Arrangement B

# PBE-GGA Er4MgCd2, relaxed
# **Theoretical density**: 7.32 g/cm3
# **Total magnetic moment**: 0.00 Bohr magnetons per cell
data_Er4MgCd2
_chemical_formula_sum 'Er12 Mg3 Cd6'
_cell_length_a 5.2836
_cell_length_b 5.2836
_cell_length_c 25.8542
_cell_angle_alpha 90.00
_cell_angle_beta 90.00
_cell_angle_gamma 120.00
_space_group_name_H-M_alt 'R -3 m'
_space_group_IT_number 166
_space_group_name_Hall '-R 3 2"'
loop_
_atom_site_label
_atom_site_type_symbol
_atom_site_fract_x
_atom_site_fract_y
_atom_site_fract_z
_atom_site_occupancy
Er1 Er 0.0000 0.0000 0.1281 1
Er2 Er 0.0000 0.0000 0.2782 1
Mg1 Mg 0.0000 0.0000 0.5000 1
Cd1 Cd 0.0000 0.0000 0.3970 1

---

Relative energies in kJ/mol of atoms: arrangement A 0.0; arrangement B 17.8

---

Arrangement A

# PBE-GGA ErMg2Cd5, relaxed
# **Theoretical density**: 7.10 g/cm3
# **Total magnetic moment**: 0.00 Bohr magnetons per cell
data_ErMg2Cd5
_chemical_formula_sum 'Er2 Mg4 Cd10'
_cell_length_a 4.5233
_cell_length_b 4.5233
_cell_length_c 17.7926
_cell_angle_alpha 90.00
_cell_angle_beta 90.00
_cell_angle_gamma 90.00
_space_group_name_H-M_alt 'I 4/m m m'
_space_group_IT_number 139
_space_group_name_Hall '-I 4 2'
loop_
_atom_site_label
_atom_site_type_symbol
_atom_site_fract_x
_atom_site_fract_y
_atom_site_fract_z
_atom_site_occupancy
Er1 Er 0.0000 0.0000 0.0000 1
Mg1 Mg 0.0000 0.0000 0.2460 1
Cd1 Cd 0.0000 0.0000 0.5000 1
Cd2 Cd 0.0000 0.5000 0.1301 1

---

Arrangement B

# PBE-GGA ErMg2Cd5, relaxed
# **Theoretical density**: 6.80 g/cm3
# **Total magnetic moment**: 0.00 Bohr magnetons per cell
data_ErMg2Cd5
_chemical_formula_sum 'Er4 Mg8 Cd20'
_cell_length_a 7.8712
_cell_length_b 7.8712
_cell_length_c 12.2697
_cell_angle_alpha 90.00
_cell_angle_beta 90.00
_cell_angle_gamma 90.00
_space_group_name_H-M_alt 'I 4/m c m'
_space_group_IT_number 140
_space_group_name_Hall '-I 4 2c'
loop_
_atom_site_label
_atom_site_type_symbol
_atom_site_fract_x
_atom_site_fract_y
_atom_site_fract_z
_atom_site_occupancy
Er1 Er 0.0000 0.0000 0.2500 1
Mg1 Mg 0.1515 0.3485 0.0000 1
Cd1 Cd 0.0000 0.0000 0.0000 1
Cd2 Cd 0.1448 0.3552 0.3390 1

---

Relative energies in kJ/mol of atoms: arrangement A 0.0; arrangement B 11.1

---

Arrangement A

# PBE-GGA Er2Mg3Cd, relaxed
# **Theoretical density**: 5.72 g/cm3
# **Total magnetic moment**: 0.00 Bohr magnetons per cell
data_Er2Mg3Cd
_chemical_formula_sum 'Er2 Mg3 Cd1'
_cell_length_a 3.3264
_cell_length_b 5.1192
_cell_length_c 8.8653
_cell_angle_alpha 90.00
_cell_angle_beta 90.00
_cell_angle_gamma 90.00
_space_group_name_H-M_alt 'P m m 2'
_space_group_IT_number 25
loop_
_space_group_symop_operation_xyz
'x,y,z'
'-x,-y,z'
'-x,y,z'
'x,-y,z'
loop_
_atom_site_label
_atom_site_type_symbol
_atom_site_fract_x
_atom_site_fract_y
_atom_site_fract_z
_atom_site_occupancy
Er1 Er 0.0000 0.0000 0.0000 1
Er2 Er 0.0000 0.5000 0.4891 1
Mg1 Mg 0.5000 0.0000 0.6612 1
Mg2 Mg 0.5000 0.5000 0.1611 1
Mg3 Mg 0.5000 0.5000 0.8264 1
Cd1 Cd 0.5000 0.0000 0.3293 1

---

Arrangement B

# PBE-GGA Er2Mg3Cd, relaxed
# **Theoretical density**: 5.76 g/cm3
# **Total magnetic moment**: 0.00 Bohr magnetons per cell
data_Er2Mg3Cd
_chemical_formula_sum 'Er16 Mg24 Cd8'
_cell_length_a 6.5692
_cell_length_b 10.3041
_cell_length_c 17.7207
_cell_angle_alpha 90.00
_cell_angle_beta 90.00
_cell_angle_gamma 90.00
_space_group_name_H-M_alt 'F m m m'
_space_group_IT_number 69
_space_group_name_Hall '-F 2 2'
loop_
_atom_site_label
_atom_site_type_symbol
_atom_site_fract_x
_atom_site_fract_y
_atom_site_fract_z
_atom_site_occupancy
Er1 Er 0.2491 0.0000 0.0000 1
Er2 Er 0.2500 0.2500 0.2500 1
Mg1 Mg 0.0000 0.0000 0.3322 1
Mg2 Mg 0.0000 0.2477 0.0838 1
Cd1 Cd 0.0000 0.0000 0.1662 1

---

Relative energies in kJ/mol of atoms: arrangement A 0.6; arrangement B 0.0

---

Arrangement A

# PBE-GGA Er2MgCd2, relaxed
# **Theoretical density**: 7.49 g/cm3
# **Total magnetic moment**: 0.00 Bohr magnetons per cell
data_Er2MgCd2
_chemical_formula_sum 'Er4 Mg2 Cd4'
_cell_length_a 4.6925
_cell_length_b 6.2873
_cell_length_c 8.7693
_cell_angle_alpha 90.00
_cell_angle_beta 90.00
_cell_angle_gamma 90.00
_space_group_name_H-M_alt 'I m m m'
_space_group_IT_number 71
_space_group_name_Hall '-I 2 2'
loop_
_atom_site_label
_atom_site_type_symbol
_atom_site_fract_x
_atom_site_fract_y
_atom_site_fract_z
_atom_site_occupancy
Er1 Er 0.0000 0.0000 0.1986 1
Mg1 Mg 0.0000 0.5000 0.0000 1
Cd1 Cd 0.0000 0.2724 0.5000 1

---

Arrangement B

# PBE-GGA Er2MgCd2, relaxed
# **Theoretical density**: 7.64 g/cm3
# **Total magnetic moment**: 0.00 Bohr magnetons per cell
data_Er2MgCd2
_chemical_formula_sum 'Er4 Mg2 Cd4'
_cell_length_a 4.8430
_cell_length_b 15.1718
_cell_length_c 3.4523
_cell_angle_alpha 90.00
_cell_angle_beta 90.00
_cell_angle_gamma 90.00
_space_group_name_H-M_alt 'C m m m'
_space_group_IT_number 65
_space_group_name_Hall '-C 2 2'
loop_
_atom_site_label
_atom_site_type_symbol
_atom_site_fract_x
_atom_site_fract_y
_atom_site_fract_z
_atom_site_occupancy
Er1 Er 0.0000 0.1164 0.0000 1
Mg1 Mg 0.0000 0.5000 0.5000 1
Cd1 Cd 0.0000 0.3034 0.5000 1

---

Relative energies in kJ/mol of atoms: arrangement A 4.2; arrangement B 0.0

---

Arrangement A

# PBE-GGA Er3MgCd3, relaxed
# **Theoretical density**: 7.76 g/cm3
# **Total magnetic moment**: 0.00 Bohr magnetons per cell
data_Er3MgCd3
_chemical_formula_sum 'Er12 Mg4 Cd12'
_cell_length_a 7.1874
_cell_length_b 10.4309
_cell_length_c 9.8661
_cell_angle_alpha 90.00
_cell_angle_beta 93.11
_cell_angle_gamma 90.00
_space_group_name_H-M_alt 'C 1 2/m 1'
_space_group_IT_number 12
loop_
_space_group_symop_operation_xyz
'x,y,z'
'-x,-y,-z'
'-x,y,-z'
'x,-y,z'
'x+1/2,y+1/2,z'
'-x+1/2,-y+1/2,-z'
'-x+1/2,y+1/2,-z'
'x+1/2,-y+1/2,z'
loop_
_atom_site_label
_atom_site_type_symbol
_atom_site_fract_x
_atom_site_fract_y
_atom_site_fract_z
_atom_site_occupancy
Er1 Er 0.0000 0.1735 0.0000 1
Er2 Er 0.0000 0.2334 0.5000 1
Er3 Er 0.0731 0.5000 0.8261 1
Mg1 Mg 0.2126 0.5000 0.4682 1
Cd1 Cd 0.0278 0.0000 0.2731 1
Cd2 Cd 0.2328 0.2841 0.2427 1

---

Arrangement B

# PBE-GGA Er3MgCd3, relaxed
# **Theoretical density**: 7.65 g/cm3
# **Total magnetic moment**: 1.28 Bohr magnetons per cell
data_Er3MgCd3
_chemical_formula_sum 'Er12 Mg4 Cd12'
_cell_length_a 10.3407
_cell_length_b 10.5869
_cell_length_c 6.8502
_cell_angle_alpha 90.00
_cell_angle_beta 90.04
_cell_angle_gamma 90.00
_space_group_name_H-M_alt 'C 1 2/m 1'
_space_group_IT_number 12
loop_
_space_group_symop_operation_xyz
'x,y,z'
'-x,-y,-z'
'-x,y,-z'
'x,-y,z'
'x+1/2,y+1/2,z'
'-x+1/2,-y+1/2,-z'
'-x+1/2,y+1/2,-z'
'x+1/2,-y+1/2,z'
loop_
_atom_site_label
_atom_site_type_symbol
_atom_site_fract_x
_atom_site_fract_y
_atom_site_fract_z
_atom_site_occupancy
Er1 Er 0.0007 0.0000 0.2492 1
Er2 Er 0.2500 0.2491 0.7496 1
Mg1 Mg 0.1716 0.5000 0.9975 1
Cd1 Cd 0.0000 0.2613 0.0000 1
Cd2 Cd 0.0000 0.2866 0.5000 1
Cd3 Cd 0.2141 0.5000 0.5013 1

---

Relative energies in kJ/mol of atoms: arrangement A 0.0; arrangement B 0.7